(1)
Below is a geometry-optimized ZrAlAu2 structure, with properties calculated at the PBE level.

a = 3.2936 Å, b = 3.2936 Å, c = 6.8013 Å
α = 90.00°, β = 90.00°, γ = 90.00°
Space group P4mm (No. 99)
Symmetry-distinct sites (fractional):
1 Zr 0.0000 0.0000 0.0000 x1
2 Al 0.5000 0.5000 0.2773 x1
3 Au 0.0000 0.0000 0.4724 x1
4 Au 0.5000 0.5000 0.7439 x1

Raw total energy, eV/atom: -5.142
Calculated density, g/cm3: 11.5
Total magnetic moment, μB per formula unit: 0.000

(2)
Below is a geometry-optimized ZrAlAu2 structure, with properties calculated at the PBE level.

a = 3.3973 Å, b = 4.7748 Å, c = 9.2061 Å
α = 90.00°, β = 90.00°, γ = 90.00°
Space group Imm2 (No. 44)
Symmetry-distinct sites (fractional):
1 Zr 0.0000 0.0000 0.0000 x2
2 Al 0.0000 0.5000 0.7525 x2
3 Au 0.0000 0.0000 0.4640 x2
4 Au 0.0000 0.5000 0.2287 x2

Raw total energy, eV/atom: -5.094
Calculated density, g/cm3: 11.4
Total magnetic moment, μB per formula unit: 0.000

(3)
Below is a geometry-optimized Zr6AlAu structure, with properties calculated at the PBE level.

a = 4.3695 Å, b = 4.3695 Å, c = 8.8345 Å
α = 90.00°, β = 90.00°, γ = 90.00°
Space group P4/mmm (No. 123)
Symmetry-distinct sites (fractional):
1 Zr 0.0000 0.0000 0.0000 x1
2 Zr 0.0000 0.0000 0.5000 x1
3 Zr 0.0000 0.5000 0.2466 x4
4 Al 0.5000 0.5000 0.0000 x1
5 Au 0.5000 0.5000 0.5000 x1

Raw total energy, eV/atom: -7.572
Calculated density, g/cm3: 7.6
Total magnetic moment, μB per formula unit: 0.000